Material: Ba5NaAu4
Method: DFT, GGA-PBE
State: relaxed

Volume (Å³/cell): 361
Fermi-level density of states (states/eV per cell): 8.46
ΔH_f (0 K) (eV/atom): -0.561

Cell: 4.077 4.077 21.748 Å, 90.00 90.00 90.00°
Fractional positions:
Ba 0.500 0.500 0.684
Ba 0.500 0.500 0.500
Au 0.000 0.000 0.780
Au 0.000 0.000 0.220
Au 0.000 0.000 0.591
Na 0.000 0.000 0.000
Au 0.000 0.000 0.409
Ba 0.500 0.500 0.316
Ba 0.500 0.500 0.137
Ba 0.500 0.500 0.863